# 1
## Ca3Ga2P4 (meta-GGA SCAN)

Data for Ca3Ga2P4 at its PBEsol-relaxed geometry.

Unit cell a=12.520 b=9.786 c=6.376 alpha=90.00 beta=91.40 gamma=90.00
Space group C2/c (No. 15)
Inequivalent atoms, fractional coordinates:
Ca: 0.000 0.100 0.250
Ca: 0.121 0.374 0.975
Ga: 0.203 0.122 0.592
P: 0.113 0.329 0.478
P: 0.153 0.089 0.941

Computed properties:
The calculation puts the total moment at 0.00 μB per formula unit. For the theoretical density, the calculation gives 3.263 g/cm3. The calculated formation energy is -9.0 eV per formula unit. The value obtained for the total energy is -12.48 eV per atom.

---

# 2
## CaGa2SbP (meta-GGA SCAN)

Data for CaGa2SbP at its PBEsol-relaxed geometry.

Unit cell a=5.198 b=5.198 c=5.263 alpha=90.00 beta=90.00 gamma=90.00
Space group P4/mmm (No. 123)
Inequivalent atoms, fractional coordinates:
Ca: 0.000 0.000 0.000
Ga: 0.000 0.500 0.500
Sb: 0.500 0.500 0.500
P: 0.500 0.500 0.000

Computed properties:
The calculation puts the total moment at 0.00 μB per formula unit. For the theoretical density, the calculation gives 3.880 g/cm3. The value obtained for the total energy is -17.67 eV per atom.

---

# 3
## Ca3GaPb (meta-GGA SCAN)

Data for Ca3GaPb at its PBEsol-relaxed geometry.

Unit cell a=5.580 b=5.580 c=5.580 alpha=90.00 beta=90.00 gamma=90.00
Space group Pm-3m (No. 221)
Inequivalent atoms, fractional coordinates:
Ca: 0.000 0.000 0.500
Ga: 0.000 0.000 0.000
Pb: 0.500 0.500 0.500

Computed properties:
The calculation puts the total moment at 1.00 μB per formula unit. For the theoretical density, the calculation gives 3.796 g/cm3. The calculated formation energy is -1.0 eV per formula unit. The value obtained for the total energy is -24.43 eV per atom.

---

# 4
## CaGaPbSe2 (meta-GGA SCAN)

Data for CaGaPbSe2 at its PBEsol-relaxed geometry.

Unit cell a=5.585 b=5.585 c=5.619 alpha=90.00 beta=90.00 gamma=90.00
Space group P4/mmm (No. 123)
Inequivalent atoms, fractional coordinates:
Ca: 0.000 0.000 0.000
Ga: 0.500 0.500 0.000
Pb: 0.000 0.000 0.500
Se: 0.000 0.500 0.500

Computed properties:
The calculation puts the total moment at 0.00 μB per formula unit. For the theoretical density, the calculation gives 4.499 g/cm3. The value obtained for the total energy is -28.17 eV per atom.

---

# 5
## Ca2YGaPb (meta-GGA SCAN)

Data for Ca2YGaPb at its PBEsol-relaxed geometry.

Unit cell a=5.797 b=5.797 c=5.762 alpha=90.00 beta=90.00 gamma=90.00
Space group P4/mmm (No. 123)
Inequivalent atoms, fractional coordinates:
Ca: 0.000 0.500 0.000
Y: 0.000 0.000 0.500
Ga: 0.500 0.500 0.500
Pb: 0.000 0.000 0.000

Computed properties:
The calculation puts the total moment at 0.05 μB per formula unit. For the theoretical density, the calculation gives 3.825 g/cm3. The calculated formation energy is 0.2 eV per formula unit. The value obtained for the total energy is -27.81 eV per atom.

---

# 6
## Ca3Ga2Pd2 (meta-GGA SCAN)

Data for Ca3Ga2Pd2 at its PBEsol-relaxed geometry.

Unit cell a=5.729 b=7.834 c=13.691 alpha=90.00 beta=90.00 gamma=90.00
Space group Pbcm (No. 57)
Inequivalent atoms, fractional coordinates:
Ca: 0.135 0.244 0.250
Ca: 0.359 0.606 0.599
Ga: 0.130 0.250 0.000
Ga: 0.352 0.594 0.250
Pd: 0.132 0.533 0.092

Computed properties:
The calculation puts the total moment at 0.00 μB per formula unit. For the theoretical density, the calculation gives 5.108 g/cm3. The calculated formation energy is -5.5 eV per formula unit. The value obtained for the total energy is -18.96 eV per atom.

---

# 7
## CaGa3Pd (meta-GGA SCAN)

Data for CaGa3Pd at its PBEsol-relaxed geometry.

Unit cell a=4.773 b=4.773 c=4.773 alpha=90.00 beta=90.00 gamma=90.00
Space group Pm-3m (No. 221)
Inequivalent atoms, fractional coordinates:
Ca: 0.000 0.000 0.000
Ga: 0.000 0.500 0.500
Pd: 0.500 0.500 0.500

Computed properties:
The calculation puts the total moment at 0.00 μB per formula unit. For the theoretical density, the calculation gives 5.432 g/cm3. The calculated formation energy is -1.6 eV per formula unit. The value obtained for the total energy is -18.61 eV per atom.

---

# 8
## Ca2GaPd2 (meta-GGA SCAN)

Data for Ca2GaPd2 at its PBEsol-relaxed geometry.

Unit cell a=9.774 b=5.637 c=7.731 alpha=90.00 beta=103.10 gamma=90.00
Space group C2/c (No. 15)
Inequivalent atoms, fractional coordinates:
Ca: 0.150 0.136 0.149
Ga: 0.000 0.364 0.750
Pd: 0.128 0.368 0.502

Computed properties:
The calculation puts the total moment at 0.00 μB per formula unit. For the theoretical density, the calculation gives 5.808 g/cm3. The calculated formation energy is -4.2 eV per formula unit. The value obtained for the total energy is -21.09 eV per atom.

---

# 9
## CaGa4Pt (meta-GGA SCAN)

Data for CaGa4Pt at its PBEsol-relaxed geometry.

Unit cell a=4.252 b=15.365 c=6.638 alpha=90.00 beta=90.00 gamma=90.00
Space group Cmcm (No. 63)
Inequivalent atoms, fractional coordinates:
Ca: 0.000 0.129 0.250
Ga: 0.000 0.059 0.750
Ga: 0.000 0.322 0.049
Ga: 0.000 0.500 0.000
Pt: 0.000 0.219 0.750

Computed properties:
The calculation puts the total moment at 0.00 μB per formula unit. For the theoretical density, the calculation gives 7.873 g/cm3. The calculated formation energy is -4.1 eV per formula unit. The value obtained for the total energy is -24.89 eV per atom.

---

# 10
## CaGaPt (meta-GGA SCAN)

Data for CaGaPt at its PBEsol-relaxed geometry.

Unit cell a=7.043 b=4.345 c=7.591 alpha=90.00 beta=90.00 gamma=90.00
Space group Pnma (No. 62)
Inequivalent atoms, fractional coordinates:
Ca: 0.015 0.250 0.186
Ga: 0.159 0.250 0.573
Pt: 0.210 0.750 0.391

Computed properties:
The calculation puts the total moment at 0.00 μB per formula unit. For the theoretical density, the calculation gives 8.717 g/cm3. The calculated formation energy is -3.2 eV per formula unit. The value obtained for the total energy is -33.15 eV per atom.

---

# 11
## CaGa5Pt2 (meta-GGA SCAN)

Data for CaGa5Pt2 at its PBEsol-relaxed geometry.

Unit cell a=3.925 b=7.399 c=9.844 alpha=90.00 beta=90.00 gamma=90.00
Space group Immm (No. 71)
Inequivalent atoms, fractional coordinates:
Ca: 0.000 0.000 0.000
Ga: 0.000 0.196 0.355
Ga: 0.000 0.500 0.000
Pt: 0.000 0.500 0.246

Computed properties:
The calculation puts the total moment at 0.00 μB per formula unit. For the theoretical density, the calculation gives 9.048 g/cm3. The calculated formation energy is -5.9 eV per formula unit. The value obtained for the total energy is -29.72 eV per atom.

---

# 12
## CaGaPt3 (meta-GGA SCAN)

Data for CaGaPt3 at its PBEsol-relaxed geometry.

Unit cell a=4.643 b=4.643 c=4.643 alpha=90.00 beta=90.00 gamma=90.00
Space group Pm-3m (No. 221)
Inequivalent atoms, fractional coordinates:
Ca: 0.000 0.000 0.000
Ga: 0.500 0.500 0.500
Pt: 0.000 0.500 0.500

Computed properties:
The calculation puts the total moment at 0.00 μB per formula unit. For the theoretical density, the calculation gives 11.532 g/cm3. The calculated formation energy is -1.4 eV per formula unit. The value obtained for the total energy is -47.59 eV per atom.

---

# 13
## CaGa3Rh (meta-GGA SCAN)

Data for CaGa3Rh at its PBEsol-relaxed geometry.

Unit cell a=4.712 b=4.712 c=4.712 alpha=90.00 beta=90.00 gamma=90.00
Space group Pm-3m (No. 221)
Inequivalent atoms, fractional coordinates:
Ca: 0.000 0.000 0.000
Ga: 0.000 0.500 0.500
Rh: 0.500 0.500 0.500

Computed properties:
The calculation puts the total moment at 0.00 μB per formula unit. For the theoretical density, the calculation gives 5.590 g/cm3. The calculated formation energy is -2.3 eV per formula unit. The value obtained for the total energy is -18.95 eV per atom.

---

# 14
## Ca3GaRh (meta-GGA SCAN)

Data for Ca3GaRh at its PBEsol-relaxed geometry.

Unit cell a=5.384 b=5.384 c=5.384 alpha=90.00 beta=90.00 gamma=90.00
Space group Pm-3m (No. 221)
Inequivalent atoms, fractional coordinates:
Ca: 0.000 0.000 0.500
Ga: 0.000 0.000 0.000
Rh: 0.500 0.500 0.500

Computed properties:
The calculation puts the total moment at 1.14 μB per formula unit. For the theoretical density, the calculation gives 3.116 g/cm3. The calculated formation energy is 2.3 eV per formula unit. The value obtained for the total energy is -15.37 eV per atom.

---

# 15
## Ca3Ga3Rh2 (meta-GGA SCAN)

Data for Ca3Ga3Rh2 at its PBEsol-relaxed geometry.

Unit cell a=7.988 b=14.733 c=5.726 alpha=90.00 beta=90.00 gamma=90.00
Space group Pnma (No. 62)
Inequivalent atoms, fractional coordinates:
Ca: 0.046 0.109 0.113
Ca: 0.197 0.250 0.618
Ga: 0.148 0.750 0.584
Ga: 0.181 0.040 0.622
Rh: 0.108 0.598 0.397

Computed properties:
The calculation puts the total moment at 0.00 μB per formula unit. For the theoretical density, the calculation gives 5.275 g/cm3. The calculated formation energy is -5.9 eV per formula unit. The value obtained for the total energy is -18.94 eV per atom.

---

# 16
## CaGa2S4 (meta-GGA SCAN)

Data for CaGa2S4 at its PBEsol-relaxed geometry.

Unit cell a=12.027 b=19.898 c=19.941 alpha=90.00 beta=90.00 gamma=90.00
Space group Fddd (No. 70, origin choice 2)
Inequivalent atoms, fractional coordinates:
Ca: 0.125 0.125 0.125
Ca: 0.125 0.125 0.373
Ca: 0.125 0.125 0.625
Ga: 0.086 0.305 0.250
Ga: 0.125 0.261 0.499
S: 0.002 0.000 0.586
S: 0.002 0.000 0.913
S: 0.003 0.093 0.249
S: 0.016 0.084 0.751

Computed properties:
The calculation puts the total moment at 0.00 μB per formula unit. For the theoretical density, the calculation gives 3.427 g/cm3. As for the energy above the most stable polymorph in this dataset: 0 meV/atom. The value obtained for the total energy is -12.83 eV per atom.

---

# 17
## CaGa2S4 (meta-GGA SCAN)

Data for CaGa2S4 at its PBEsol-relaxed geometry.

Unit cell a=5.967 b=9.974 c=10.030 alpha=90.00 beta=90.00 gamma=90.00
Space group Cccm (No. 66)
Inequivalent atoms, fractional coordinates:
Ca: 0.000 0.000 0.250
Ga: 0.002 0.267 0.000
S: 0.226 0.078 0.500
S: 0.250 0.250 0.173

Computed properties:
The calculation puts the total moment at 0.00 μB per formula unit. For the theoretical density, the calculation gives 3.425 g/cm3. As for the energy above the most stable polymorph in this dataset: 19 meV/atom. The value obtained for the total energy is -12.81 eV per atom.

---

# 18
## Ca5Ga2Sb6 (meta-GGA SCAN)

Data for Ca5Ga2Sb6 at its PBEsol-relaxed geometry.

Unit cell a=11.952 b=13.848 c=4.427 alpha=90.00 beta=90.00 gamma=90.00
Space group Pbam (No. 55)
Inequivalent atoms, fractional coordinates:
Ca: 0.000 0.000 0.000
Ca: 0.091 0.247 0.000
Ca: 0.171 0.519 0.000
Ga: 0.170 0.712 0.500
Sb: 0.027 0.399 0.500
Sb: 0.155 0.091 0.500
Sb: 0.164 0.824 0.000

Computed properties:
The calculation puts the total moment at 0.00 μB per formula unit. For the theoretical density, the calculation gives 4.851 g/cm3. The value obtained for the total energy is -24.26 eV per atom.

---

# 19
## CaGaSb3 (meta-GGA SCAN)

Data for CaGaSb3 at its PBEsol-relaxed geometry.

Unit cell a=5.611 b=5.611 c=5.611 alpha=90.00 beta=90.00 gamma=90.00
Space group Pm-3m (No. 221)
Inequivalent atoms, fractional coordinates:
Ca: 0.000 0.000 0.000
Ga: 0.500 0.500 0.500
Sb: 0.000 0.000 0.500

Computed properties:
The calculation puts the total moment at 0.00 μB per formula unit. For the theoretical density, the calculation gives 4.466 g/cm3. The value obtained for the total energy is -26.89 eV per atom.